ScTePd3: optimized geometry, GGA-PBE.

Calculated values
DOS at the Fermi energy   4.65 states/eV/f.u.
Crystal system   cubic
VASP energy   -4.969 eV/atom

a b c (Å): 4.911 4.911 4.911
angles (deg): 90.00 90.00 90.00
Space group Pm-3m (No. 221)
Symmetry-distinct sites (fractional):
Sc: 0.000 0.000 0.000 [1 per cell]
Te: 0.500 0.500 0.500 [1 per cell]
Pd: 0.000 0.500 0.500 [3 per cell]